(1)
DFT (PBE) results for crystalline TaInTc2 at its relaxed geometry.

abc: 4.8587 4.8587 5.0039
angles: 74.45 74.45 37.14
Last column: nearest neighbours and their distance in Å.
Fractional coordinates of all 4 atoms:
In (0.7500, 0.7500, 0.7500)  6 Tc 2.87, 4 Ta 2.94, 2 In 3.09
Ta (0.2500, 0.2500, 0.2500)  6 Tc 2.65-2.96, 4 In 2.94
Tc (0.9865, 0.9865, 0.0209)  3 Ta 2.65-2.96, 2 Tc 2.83, 3 In 2.87
Tc (0.5135, 0.5135, 0.4791)  3 Ta 2.65-2.96, 2 Tc 2.83, 3 In 2.87

Calculated values
- formation enthalpy at 0 K (eV/atom) = 0.14
- raw total energy (eV/atom) = -8.687



(2)
DFT (PBE) results for crystalline TaInTc4 at its relaxed geometry.

abc: 5.1907 5.1907 5.1907
angles: 60.00 60.00 60.00
Last column: nearest neighbours and their distance in Å.
Fractional coordinates of all 6 atoms:
Ta (0.0000, 0.0000, 0.0000)  12 Tc 3.04, 4 In 3.18
In (0.7500, 0.7500, 0.7500)  12 Tc 3.04, 4 Ta 3.18
Tc (0.8733, 0.3756, 0.3756)  6 Tc 2.58-2.61
Tc (0.3756, 0.3756, 0.8733)  6 Tc 2.58-2.61
Tc (0.3756, 0.8733, 0.3756)  6 Tc 2.58-2.61
Tc (0.3756, 0.3756, 0.3756)  6 Tc 2.58-2.61

Calculated values
- formation enthalpy at 0 K (eV/atom) = 0.09
- raw total energy (eV/atom) = -9.252



(3)
DFT (PBE) results for crystalline TaInTc2 at its relaxed geometry.

abc: 8.7708 8.7708 8.7708
angles: 20.14 20.14 20.14
Last column: nearest neighbours and their distance in Å.
Fractional coordinates of all 4 atoms:
In (0.7500, 0.7500, 0.7500)  6 Tc 2.90, 6 In 3.07
Ta (0.2500, 0.2500, 0.2500)  6 Tc 2.67
Tc (0.9941, 0.9941, 0.9941)  3 Ta 2.67, 3 In 2.90
Tc (0.5059, 0.5059, 0.5059)  3 Ta 2.67, 3 In 2.90

Calculated values
- formation enthalpy at 0 K (eV/atom) = 0.16
- raw total energy (eV/atom) = -8.672



(4)
DFT (PBE) results for crystalline TaIn4Tc at its relaxed geometry.

abc: 5.6268 5.6268 5.6268
angles: 60.00 60.00 60.00
Last column: nearest neighbours and their distance in Å.
Fractional coordinates of all 6 atoms:
Ta (0.7500, 0.7500, 0.7500)  12 In 3.30, 4 Tc 3.45
In (0.8750, 0.3750, 0.3750)  6 In 2.81
In (0.3750, 0.3750, 0.8750)  6 In 2.81
In (0.3750, 0.8750, 0.3750)  6 In 2.81
In (0.3750, 0.3750, 0.3750)  6 In 2.81
Tc (0.0000, 0.0000, 0.0000)  12 In 3.30, 4 Ta 3.45

Calculated values
- formation enthalpy at 0 K (eV/atom) = 0.91
- raw total energy (eV/atom) = -4.619



(5)
DFT (PBE) results for crystalline TaInTc2 at its relaxed geometry.

abc: 5.3888 5.3888 5.3888
angles: 144.99 131.12 61.52
Last column: nearest neighbours and their distance in Å.
Fractional coordinates of all 4 atoms:
In (0.5047, 0.5047, 0.0000)  6 Tc 2.76-2.88, 2 Ta 2.97
Ta (0.2361, 0.7361, 0.5000)  6 Tc 2.74-2.77, 2 In 2.97
Tc (0.9981, 0.9981, 0.0000)  2 Tc 2.73, 2 Ta 2.74, 4 In 2.76
Tc (0.7612, 0.2612, 0.5000)  2 Tc 2.73, 4 Ta 2.77, 2 In 2.88

Calculated values
- formation enthalpy at 0 K (eV/atom) = 0.02
- raw total energy (eV/atom) = -8.810



(6)
DFT (PBE) results for crystalline TaInTc2 at its relaxed geometry.

abc: 2.9303 2.9303 7.9925
angles: 90.00 90.00 90.00
Last column: nearest neighbours and their distance in Å.
Fractional coordinates of all 4 atoms:
In (0.0000, 0.0000, 0.4828)  4 In 2.93, 4 Tc 2.96, 4 Ta 3.12
Ta (0.5000, 0.5000, 0.7740)  4 Tc 2.89, 4 Ta 2.93, 4 In 3.12
Tc (0.0000, 0.0000, 0.0253)  4 Tc 2.58, 4 Ta 2.89
Tc (0.5000, 0.5000, 0.2179)  4 Tc 2.58

Calculated values
- formation enthalpy at 0 K (eV/atom) = 0.06
- raw total energy (eV/atom) = -8.767



(7)
DFT (PBE) results for crystalline TaIn3Tc at its relaxed geometry.

abc: 5.3321 5.3321 5.3321
angles: 90.00 90.00 90.00
Last column: nearest neighbours and their distance in Å.
Fractional coordinates of all 5 atoms:
In (0.0000, 0.5000, 0.0000)  2 Ta 2.67
In (0.0000, 0.0000, 0.5000)  2 Ta 2.67
In (0.5000, 0.0000, 0.0000)  2 Ta 2.67
Tc (0.5000, 0.5000, 0.5000)  12 In 3.77
Ta (0.0000, 0.0000, 0.0000)  6 In 2.67

Calculated values
- formation enthalpy at 0 K (eV/atom) = 1.47
- raw total energy (eV/atom) = -4.621



(8)
DFT (PBE) results for crystalline TaInTc3 at its relaxed geometry.

abc: 4.7673 4.7673 4.7673
angles: 90.00 90.00 90.00
Last column: nearest neighbours and their distance in Å.
Fractional coordinates of all 5 atoms:
In (0.5000, 0.5000, 0.5000)  12 Tc 3.37
Tc (0.0000, 0.5000, 0.0000)  2 Ta 2.38
Tc (0.0000, 0.0000, 0.5000)  2 Ta 2.38
Tc (0.5000, 0.0000, 0.0000)  2 Ta 2.38
Ta (0.0000, 0.0000, 0.0000)  6 Tc 2.38

Calculated values
- formation enthalpy at 0 K (eV/atom) = 1.51
- raw total energy (eV/atom) = -7.632



Density values (in Mg/m³) by entry order: 11.9, 11.5, 11.7, 9.7, 12.2, 11.9, 6.8, 9.0.
Spin magnetization values (in μB per formula unit) by entry order: 0.0, 0.0, 0.0, 2.4, 0.0, 0.0, 4.1, 2.7.
DOS at the Fermi energy values (in states/eV/f.u.) by entry order: 3.10, 6.96, 2.86, 4.76, 3.60, 2.78, 3.75, 5.45.